## PtRh (GGA-PBEsol)

Data for PtRh after structural relaxation.

## Properties
Formation enthalpy at 0 K, eV per atom: 0.049
Volume, Å³/atom: 14.28

abc: 4.516 4.688 5.397
angles: 90.00 90.00 90.00
Fractional coordinates of all 8 atoms:
Pt 0.750 0.913 0.876
Pt 0.250 0.587 0.376
Pt 0.750 0.413 0.624
Pt 0.250 0.087 0.124
Rh 0.750 0.916 0.374
Rh 0.250 0.584 0.874
Rh 0.750 0.416 0.126
Rh 0.250 0.084 0.626

## Pt5Rh4 (GGA-PBEsol)

Data for Pt5Rh4 after structural relaxation.

## Properties
Formation enthalpy at 0 K, eV per atom: -0.013
Volume, Å³/atom: 14.29

abc: 3.849 6.093 6.093
angles: 84.27 71.59 71.59
Fractional coordinates of all 9 atoms:
Pt 0.000 0.000 0.000
Pt 0.332 0.000 0.337
Pt 0.332 0.337 0.000
Pt 0.668 0.663 0.000
Pt 0.668 0.000 0.663
Rh 0.000 0.340 0.660
Rh 0.000 0.660 0.340
Rh 0.340 0.660 0.660
Rh 0.660 0.340 0.340

## PtRh3 (GGA-PBEsol)

Data for PtRh3 after structural relaxation.

## Properties
Formation enthalpy at 0 K, eV per atom: -0.003
Volume, Å³/atom: 13.84

abc: 2.696 2.696 8.934
angles: 81.32 81.32 60.00
Fractional coordinates of all 4 atoms:
Rh 0.248 0.248 0.256
Rh 0.500 0.500 0.500
Rh 0.752 0.752 0.744
Pt 0.000 0.000 0.000

## PtRh (GGA-PBEsol)

Data for PtRh after structural relaxation.

## Properties
Formation enthalpy at 0 K, eV per atom: -0.019
Volume, Å³/atom: 14.20

abc: 2.712 2.712 7.726
angles: 90.00 90.00 90.00
Fractional coordinates of all 4 atoms:
Rh 0.250 0.750 0.616
Rh 0.750 0.250 0.384
Pt 0.250 0.750 0.133
Pt 0.750 0.250 0.867

## PtRh (GGA-PBEsol)

Data for PtRh after structural relaxation.

## Properties
Formation enthalpy at 0 K, eV per atom: 0.000
Volume, Å³/atom: 14.21

abc: 2.728 2.728 4.684
angles: 73.07 73.07 60.00
Fractional coordinates of all 2 atoms:
Rh 0.500 0.500 0.500
Pt 0.000 0.000 0.000

## Pt3Rh (GGA-PBEsol)

Data for Pt3Rh after structural relaxation.

## Properties
Formation enthalpy at 0 K, eV per atom: -0.004
Volume, Å³/atom: 14.59

abc: 2.748 4.745 4.750
angles: 99.64 90.00 106.83
Fractional coordinates of all 4 atoms:
Rh 0.500 0.000 0.000
Pt 0.752 0.504 0.753
Pt 0.248 0.496 0.247
Pt 0.000 0.000 0.500

## Pt5Rh (GGA-PBEsol)

Data for Pt5Rh after structural relaxation.

## Properties
Formation enthalpy at 0 K, eV per atom: 0.065
Volume, Å³/atom: 14.81

abc: 4.628 4.708 4.708
angles: 120.00 90.00 90.00
Fractional coordinates of all 6 atoms:
Rh 0.500 0.000 0.000
Pt 0.000 0.331 0.331
Pt 0.000 0.669 0.000
Pt 0.000 0.000 0.669
Pt 0.500 0.333 0.667
Pt 0.500 0.667 0.333

## PtRh3 (GGA-PBEsol)

Data for PtRh3 after structural relaxation.

## Properties
Formation enthalpy at 0 K, eV per atom: -0.013
Volume, Å³/atom: 13.80

abc: 2.689 2.689 7.631
angles: 90.00 90.00 90.00
Fractional coordinates of all 4 atoms:
Rh 0.000 0.000 0.500
Rh 0.500 0.500 0.258
Rh 0.500 0.500 0.742
Pt 0.000 0.000 0.000

## PtRh3 (GGA-PBEsol)

Data for PtRh3 after structural relaxation.

## Properties
Formation enthalpy at 0 K, eV per atom: 0.019
Volume, Å³/atom: 13.86

abc: 4.669 5.386 8.820
angles: 90.00 90.00 90.00
Fractional coordinates of all 16 atoms:
Pt 0.416 0.378 0.250
Pt 0.084 0.878 0.750
Pt 0.916 0.122 0.250
Pt 0.584 0.622 0.750
Rh 0.582 0.128 0.750
Rh 0.247 0.625 0.001
Rh 0.247 0.625 0.499
Rh 0.253 0.125 0.501
Rh 0.253 0.125 0.999
Rh 0.918 0.628 0.250
Rh 0.082 0.372 0.750
Rh 0.747 0.875 0.001
Rh 0.747 0.875 0.499
Rh 0.753 0.375 0.501
Rh 0.753 0.375 0.999
Rh 0.418 0.872 0.250

## PtRh (GGA-PBEsol)

Data for PtRh after structural relaxation.

## Properties
Formation enthalpy at 0 K, eV per atom: 0.054
Volume, Å³/atom: 14.28

abc: 2.704 4.681 5.250
angles: 116.19 104.92 90.00
Fractional coordinates of all 4 atoms:
Rh 0.872 0.704 0.745
Rh 0.128 0.296 0.255
Pt 0.377 0.209 0.754
Pt 0.623 0.791 0.246

## Pt3Rh (GGA-PBEsol)

Data for Pt3Rh after structural relaxation.

## Properties
Formation enthalpy at 0 K, eV per atom: 0.058
Volume, Å³/atom: 14.67

abc: 4.609 4.699 5.419
angles: 90.00 90.00 90.00
Fractional coordinates of all 8 atoms:
Pt 0.500 0.336 0.000
Pt 0.000 0.167 0.751
Pt 0.500 0.833 0.749
Pt 0.000 0.664 0.500
Pt 0.000 0.167 0.249
Pt 0.500 0.833 0.251
Rh 0.000 0.666 0.000
Rh 0.500 0.334 0.500

## PtRh3 (GGA-PBEsol)

Data for PtRh3 after structural relaxation.

## Properties
Formation enthalpy at 0 K, eV per atom: -0.019
Volume, Å³/atom: 13.82

abc: 3.807 3.807 4.669
angles: 114.06 114.06 90.00
Fractional coordinates of all 4 atoms:
Rh 0.250 0.750 0.500
Rh 0.750 0.250 0.500
Rh 0.500 0.500 0.000
Pt 0.000 0.000 0.000

Number 1 is which compound?
PtRh

What is the formula in the eleventh record?
Pt3Rh

The highest volume belongs to which entry?
Pt5Rh

The lowest volume belongs to which entry?
number 8